# Ag2BBr5 (PBE, optimized geometry)
# Mass density   4.48 g cm⁻³
# DOS(E_F)   0.000 states/eV per atom
# E_form (uncorrected)   -0.33 eV/atom
data_Ag2BBr5
_symmetry_space_group_name_H-M 'C 1 2/c 1'
_symmetry_Int_Tables_number 15
_symmetry_space_group_name_Hall '-C 2yc'
_cell_length_a 10.447
_cell_length_b 10.473
_cell_length_c 9.722
_cell_angle_alpha 90.00
_cell_angle_beta 119.35
_cell_angle_gamma 90.00
loop_
_atom_site_label
_atom_site_fract_x
_atom_site_fract_y
_atom_site_fract_z
Ag1 0.000 0.000 0.000
Ag2 0.250 0.250 0.000
B1 0.000 0.398 0.250
Br1 0.000 0.118 0.750
Br2 0.014 0.291 0.429
Br3 0.180 0.484 0.825

***

# Ag3BBr6 (PBE, optimized geometry)
# Mass density   4.13 g cm⁻³
# DOS(E_F)   0.000 states/eV per atom
# E_form (uncorrected)   -0.18 eV/atom
# ΔE to the lowest computed polymorph   15.01 kJ per mole of atoms
data_Ag3BBr6
_symmetry_space_group_name_H-M 'P 1 21/c 1'
_symmetry_Int_Tables_number 14
_symmetry_space_group_name_Hall '-P 2ybc'
_cell_length_a 8.663
_cell_length_b 7.338
_cell_length_c 10.986
_cell_angle_alpha 90.00
_cell_angle_beta 110.31
_cell_angle_gamma 90.00
loop_
_atom_site_label
_atom_site_fract_x
_atom_site_fract_y
_atom_site_fract_z
Ag1 0.000 0.000 0.000
Ag2 0.013 0.009 0.652
B1 0.500 0.000 0.500
Br1 0.186 0.191 0.260
Br2 0.201 0.722 0.063
Br3 0.487 0.175 0.610

***

# AgBBr2 (PBE, optimized geometry)
# Mass density   5.37 g cm⁻³
# DOS(E_F)   0.000 states/eV per atom
# E_form (uncorrected)   0.88 eV/atom
# ΔE to the lowest computed polymorph   20.20 kJ per mole of atoms
data_AgBBr2
_symmetry_space_group_name_H-M 'F m -3 m'
_symmetry_Int_Tables_number 225
_symmetry_space_group_name_Hall '-F 4 2 3'
_cell_length_a 7.011
_cell_length_b 7.011
_cell_length_c 7.011
_cell_angle_alpha 90.00
_cell_angle_beta 90.00
_cell_angle_gamma 90.00
loop_
_atom_site_label
_atom_site_fract_x
_atom_site_fract_y
_atom_site_fract_z
Ag1 0.000 0.000 0.000
B1 0.000 0.000 0.500
Br1 0.250 0.250 0.250

***

# Ag3BBr (PBE, optimized geometry)
# Mass density   4.88 g cm⁻³
# DOS(E_F)   0.702 states/eV per atom
# E_form (uncorrected)   1.55 eV/atom
# ΔE to the lowest computed polymorph   91.10 kJ per mole of atoms
data_Ag3BBr
_symmetry_space_group_name_H-M 'P m -3 m'
_symmetry_Int_Tables_number 221
_symmetry_space_group_name_Hall '-P 4 2 3'
_cell_length_a 5.203
_cell_length_b 5.203
_cell_length_c 5.203
_cell_angle_alpha 90.00
_cell_angle_beta 90.00
_cell_angle_gamma 90.00
loop_
_atom_site_label
_atom_site_fract_x
_atom_site_fract_y
_atom_site_fract_z
Ag1 0.000 0.000 0.500
B1 0.500 0.500 0.500
Br1 0.000 0.000 0.000

***

Question: Among the records above, which one has the highest DOS(E_F)?
Answer: Ag3BBr